Material: LaAsP2
Method: DFT, PBE-GGA
State: optimized geometry

The structure belongs to space group F-43m (No. 216); the cell edges are 6.9928, 6.9928 and 6.9928 Å and the angles 90.00°, 90.00° and 90.00°. The asymmetric unit holds La at (0.0000, 0.0000, 0.0000), As at (0.2500, 0.2500, 0.7500), P at (0.0000, 0.0000, 0.5000) and P at (0.2500, 0.2500, 0.2500).

The calculated density is 5.357 g cm⁻³. The value obtained for the energy is -5.22 eV per atom. The energy of formation from the pure elements is -0.1199 eV/atom.

---

Material: LaAsP2
Method: DFT, PBE-GGA
State: optimized geometry

The structure belongs to space group Pmmm (No. 47); the cell edges are 4.0454, 4.4558 and 4.5127 Å and the angles 90.00°, 90.00° and 90.00°. The asymmetric unit holds La at (0.0000, 0.0000, 0.0000), As at (0.0000, 0.5000, 0.5000), P at (0.5000, 0.0000, 0.5000) and P at (0.5000, 0.5000, 0.0000).

The calculated density is 5.630 g cm⁻³. The value obtained for the energy is -5.59 eV per atom. The energy of formation from the pure elements is -0.4888 eV/atom.

---

Material: LaAsP2
Method: DFT, PBE-GGA
State: optimized geometry

The structure belongs to space group P4/mmm (No. 123); the cell edges are 3.8034, 3.8034 and 5.7351 Å and the angles 90.00°, 90.00° and 90.00°. The asymmetric unit holds La at (0.0000, 0.0000, 0.0000), As at (0.0000, 0.0000, 0.5000) and P at (0.5000, 0.5000, 0.3035).

The calculated density is 5.520 g cm⁻³. The value obtained for the energy is -5.50 eV per atom. The energy of formation from the pure elements is -0.4039 eV/atom.

---

Material: La2AsP2
Method: DFT, PBE-GGA
State: optimized geometry

The structure belongs to space group P4/mbm (No. 127); the cell edges are 8.0372, 8.0372 and 3.9401 Å and the angles 90.00°, 90.00° and 90.00°. The asymmetric unit holds La at (0.1543, 0.3457, 0.0000), As at (0.0000, 0.0000, 0.0000) and P at (0.1576, 0.6576, 0.5000).

The calculated density is 5.411 g cm⁻³. The value obtained for the energy is -5.93 eV per atom. The energy of formation from the pure elements is -0.8659 eV/atom.

---

Material: LaAs3P
Method: DFT, PBE-GGA
State: optimized geometry

The structure belongs to space group Pm-3m (No. 221); the cell edges are 4.8575, 4.8575 and 4.8575 Å and the angles 90.00°, 90.00° and 90.00°. The asymmetric unit holds La at (0.0000, 0.0000, 0.0000), As at (0.0000, 0.5000, 0.5000) and P at (0.5000, 0.5000, 0.5000).

The calculated density is 5.718 g cm⁻³. The value obtained for the energy is -5.06 eV per atom. The energy of formation from the pure elements is -0.2074 eV/atom.

---

Material: LaAsP2Pd
Method: DFT, PBE-GGA
State: optimized geometry

The structure belongs to space group P4/mmm (No. 123); the cell edges are 4.9154, 4.9154 and 4.5847 Å and the angles 90.00°, 90.00° and 90.00°. The asymmetric unit holds La at (0.0000, 0.0000, 0.0000), As at (0.5000, 0.5000, 0.5000), P at (0.0000, 0.5000, 0.5000) and Pd at (0.5000, 0.5000, 0.0000).

The calculated density is 5.729 g cm⁻³. The value obtained for the energy is -5.34 eV per atom. The energy of formation from the pure elements is -0.2186 eV/atom.

---

Material: La2As3PPd4
Method: DFT, PBE-GGA
State: optimized geometry

The structure belongs to space group P-4m2 (No. 115); the cell edges are 4.4538, 4.4538 and 9.8534 Å and the angles 90.00°, 90.00° and 90.00°. The asymmetric unit holds La at (0.0000, 0.5000, 0.2453), As at (0.0000, 0.0000, 0.0000), As at (0.0000, 0.5000, 0.6339), P at (0.5000, 0.5000, 0.0000), Pd at (0.0000, 0.0000, 0.5000), Pd at (0.0000, 0.5000, 0.8885) and Pd at (0.5000, 0.5000, 0.5000).

The calculated density is 8.149 g cm⁻³. The value obtained for the energy is -5.95 eV per atom. The energy of formation from the pure elements is -0.9530 eV/atom.

---

Material: La2As3PRh4
Method: DFT, PBE-GGA
State: optimized geometry

The structure belongs to space group P-4m2 (No. 115); the cell edges are 4.3211, 4.3211 and 9.8893 Å and the angles 90.00°, 90.00° and 90.00°. The asymmetric unit holds La at (0.0000, 0.5000, 0.2411), As at (0.0000, 0.0000, 0.0000), As at (0.0000, 0.5000, 0.6388), P at (0.5000, 0.5000, 0.0000), Rh at (0.0000, 0.0000, 0.5000), Rh at (0.0000, 0.5000, 0.8904) and Rh at (0.5000, 0.5000, 0.5000).

The calculated density is 8.500 g cm⁻³. The value obtained for the energy is -6.88 eV per atom. The energy of formation from the pure elements is -1.0202 eV/atom.

---

Material: LaAsPRh3
Method: DFT, PBE-GGA
State: optimized geometry

The structure belongs to space group Cmcm (No. 63); the cell edges are 5.6624, 14.8965 and 5.6241 Å and the angles 90.00°, 90.00° and 90.00°. The asymmetric unit holds La at (0.0000, 0.1978, 0.2500), As at (0.0000, 0.4016, 0.7500), P at (0.0000, 0.0832, 0.7500), Rh at (0.0000, 0.2378, 0.7500) and Rh at (0.2472, 0.0000, 0.0000).

The calculated density is 7.750 g cm⁻³. The value obtained for the energy is -7.03 eV per atom. The energy of formation from the pure elements is -0.8587 eV/atom.

---

Material: La2AsPRh6
Method: DFT, PBE-GGA
State: optimized geometry

The structure belongs to space group Pmmn (No. 59, origin choice 2); the cell edges are 5.7225, 8.7075 and 7.5926 Å and the angles 90.00°, 90.00° and 90.00°. The asymmetric unit holds La at (0.2500, 0.0170, 0.2232), As at (0.2500, 0.7500, 0.7710), P at (0.2500, 0.2500, 0.7381), Rh at (0.0101, 0.7500, 0.0386), Rh at (0.0119, 0.7500, 0.4866) and Rh at (0.2500, 0.5009, 0.6174).

The calculated density is 8.788 g cm⁻³. The value obtained for the energy is -7.15 eV per atom. The energy of formation from the pure elements is -0.7493 eV/atom.

---

Material: La8AsP3S4
Method: DFT, PBE-GGA
State: optimized geometry

The structure belongs to space group R-3m (No. 166, hexagonal axes); the cell edges are 8.4777, 8.4777 and 20.6921 Å and the angles 90.00°, 90.00° and 120.00°. The asymmetric unit holds La at (0.0000, 0.0000, 0.2480), La at (0.0042, 0.5021, 0.7510), As at (0.0000, 0.0000, 0.5000), P at (0.0000, 0.5000, 0.5000), S at (0.0000, 0.0000, 0.0000) and S at (0.0000, 0.5000, 0.0000).

The calculated density is 5.444 g cm⁻³. The value obtained for the energy is -6.72 eV per atom.

---

Material: LaAsP2S
Method: DFT, PBE-GGA
State: optimized geometry

The structure belongs to space group P4/mmm (No. 123); the cell edges are 5.5744, 5.5744 and 5.2923 Å and the angles 90.00°, 90.00° and 90.00°. The asymmetric unit holds La at (0.0000, 0.0000, 0.0000), As at (0.5000, 0.5000, 0.5000), P at (0.0000, 0.5000, 0.0000) and S at (0.0000, 0.0000, 0.5000).

The calculated density is 3.108 g cm⁻³. The value obtained for the energy is -4.01 eV per atom.

---

Number 2 is which compound? LaAsP2

---

Which value of calculated density does entry 3 give? 5.520 g cm⁻³

---

Copy entry 5 word for word.
Material: LaAs3P
Method: DFT, PBE-GGA
State: optimized geometry

The structure belongs to space group Pm-3m (No. 221); the cell edges are 4.8575, 4.8575 and 4.8575 Å and the angles 90.00°, 90.00° and 90.00°. The asymmetric unit holds La at (0.0000, 0.0000, 0.0000), As at (0.0000, 0.5000, 0.5000) and P at (0.5000, 0.5000, 0.5000).

The calculated density is 5.718 g cm⁻³. The value obtained for the energy is -5.06 eV per atom. The energy of formation from the pure elements is -0.2074 eV/atom.

---

Look up the calculated density of the fifth one. 5.718 g cm⁻³